1.
The following is a DFT calculation (GGA+U) of crystalline Li3MnCoO5 at its relaxed geometry.

a b c (Å): 4.9770 5.1117 7.7522
angles (deg): 71.08 71.81 79.89
Space group P1 (No. 1)
One atom of each set of equivalent atoms:
Li  0.0000  0.0000  0.0000 x1
Li  0.1004  0.5154  0.2938 x1
Li  0.2776  0.5038  0.9048 x1
Li  0.4973  0.5053  0.5060 x1
Li  0.7047  0.5066  0.0919 x1
Li  0.8961  0.4835  0.7175 x1
Mn  0.4024  0.0110  0.1963 x1
Mn  0.8000  0.0108  0.3993 x1
Co  0.1958  0.0034  0.6073 x1
Co  0.6003  0.9949  0.8127 x1
O  0.0511  0.2333  0.1725 x1
O  0.1475  0.7940  0.4415 x1
O  0.2640  0.2271  0.7392 x1
O  0.3570  0.7763  0.0644 x1
O  0.4689  0.2337  0.3453 x1
O  0.5487  0.7875  0.6344 x1
O  0.6170  0.2389  0.9662 x1
O  0.7324  0.7863  0.2621 x1
O  0.8588  0.2270  0.5522 x1
O  0.9352  0.7599  0.8428 x1

## Properties
Calculated density in g cm⁻³: 4.037
Energy above the lowest structure with this stoichiometry in eV per formula unit: 0.32
Crystal system: triclinic
Calculated total energy in eV per atom: -5.931

=====

2.
The following is a DFT calculation (GGA+U) of crystalline VGaF4 at its relaxed geometry.

a b c (Å): 12.9327 5.0728 5.6602
angles (deg): 90.00 105.31 90.00
Space group C2/c (No. 15)
One atom of each set of equivalent atoms:
V  0.2500  0.2500  0.0000 x4
Ga  0.0000  0.2374  0.2500 x4
F  0.1057  0.1043  0.9421 x8
F  0.2056  0.4552  0.6790 x8

## Properties
Calculated density in g cm⁻³: 3.647
Energy above the lowest structure with this stoichiometry in eV per formula unit: 0.00
Crystal system: monoclinic
Calculated total energy in eV per atom: -5.456